Entry from Alexandria: crystalline Li4GaAg2 at its relaxed geometry (PBE-GGA).

Lattice parameters (Å, degrees): 4.622 4.622 6.749 110.02 110.02 90.00
Fractional coordinates of all 7 atoms:
Li1 0.379 0.879 0.758
Li2 0.879 0.379 0.758
Li3 0.621 0.121 0.242
Li4 0.121 0.621 0.242
Ga1 0.000 0.000 0.000
Ag1 0.762 0.762 0.525
Ag2 0.238 0.238 0.475

Summary:
The calculated formation energy comes out at -81 kJ/mol of formula units. As for the energy above the most stable polymorph in this dataset: 28 meV/atom. The value obtained for the magnetization is 0.00 μB per formula unit. The value obtained for the calculated volume is 126 Å³/f.u.

***

Entry from Alexandria: crystalline Li4Ga3Ag4 at its relaxed geometry (PBE-GGA).

Lattice parameters (Å, degrees): 2.851 4.590 14.181 80.49 89.12 89.95
Fractional coordinates of all 11 atoms:
Li1 0.695 0.551 0.897
Li2 0.305 0.449 0.103
Li3 0.245 0.823 0.355
Li4 0.755 0.177 0.645
Ga1 0.236 0.642 0.715
Ga2 0.763 0.358 0.285
Ga3 0.002 0.000 0.000
Ag1 0.250 0.090 0.818
Ag2 0.256 0.271 0.460
Ag3 0.744 0.729 0.540
Ag4 0.749 0.910 0.182

Summary:
The calculated formation energy comes out at -234 kJ/mol of formula units. As for the energy above the most stable polymorph in this dataset: 0 meV/atom. The value obtained for the magnetization is 0.00 μB per formula unit. The value obtained for the calculated volume is 183 Å³/f.u.

***

Entry from Alexandria: crystalline Li12GaAg2 at its relaxed geometry (PBE-GGA).

Lattice parameters (Å, degrees): 5.378 5.378 20.342 90.00 90.00 90.00
Fractional coordinates of all 30 atoms:
Li1 0.500 0.500 0.802
Li2 0.000 0.000 0.802
Li3 0.750 0.750 0.904
Li4 0.250 0.750 0.904
Li5 0.000 0.000 0.322
Li6 0.250 0.750 0.096
Li7 0.814 0.314 0.562
Li8 0.500 0.500 0.322
Li9 0.250 0.250 0.904
Li10 0.750 0.750 0.096
Li11 0.314 0.186 0.562
Li12 0.686 0.186 0.438
Li13 0.000 0.000 0.678
Li14 0.186 0.314 0.438
Li15 0.250 0.250 0.096
Li16 0.814 0.686 0.438
Li17 0.686 0.814 0.562
Li18 0.000 0.000 0.198
Li19 0.186 0.686 0.562
Li20 0.500 0.500 0.678
Li21 0.750 0.250 0.904
Li22 0.500 0.500 0.198
Li23 0.314 0.814 0.438
Li24 0.750 0.250 0.096
Ga1 0.500 0.000 0.000
Ga2 0.000 0.500 0.000
Ag1 0.500 0.000 0.212
Ag2 0.000 0.500 0.212
Ag3 0.000 0.500 0.788
Ag4 0.500 0.000 0.788

Summary:
The calculated formation energy comes out at 93 kJ/mol of formula units. The value obtained for the magnetization is 0.00 μB per formula unit. The value obtained for the calculated volume is 294 Å³/f.u.

***

Entry from Alexandria: crystalline LiLuGaAg at its relaxed geometry (PBE-GGA).

Lattice parameters (Å, degrees): 4.777 4.777 4.777 60.00 60.00 60.00
Fractional coordinates of all 4 atoms:
Lu1 0.000 0.000 0.000
Ga1 0.750 0.750 0.750
Ag1 0.250 0.250 0.250
Li1 0.500 0.500 0.500

Summary:
The calculated formation energy comes out at -131 kJ/mol of formula units. The value obtained for the magnetization is 0.00 μB per formula unit. The value obtained for the calculated volume is 77 Å³/f.u.

***

Entry from Alexandria: crystalline LiMg2Ga2Ag2 at its relaxed geometry (PBE-GGA).

Lattice parameters (Å, degrees): 4.519 4.519 7.881 73.34 73.34 60.00
Fractional coordinates of all 7 atoms:
Li1 0.000 0.000 0.000
Mg1 0.129 0.129 0.614
Mg2 0.871 0.871 0.386
Ga1 0.612 0.612 0.164
Ga2 0.388 0.388 0.836
Ag1 0.741 0.741 0.777
Ag2 0.259 0.259 0.223

Summary:
The calculated formation energy comes out at -126 kJ/mol of formula units. The value obtained for the magnetization is 0.00 μB per formula unit. The value obtained for the calculated volume is 132 Å³/f.u.

***

Entry from Alexandria: crystalline LiMg5GaAg2 at its relaxed geometry (PBE-GGA).

Lattice parameters (Å, degrees): 7.348 7.348 8.665 115.09 115.09 90.00
Fractional coordinates of all 18 atoms:
Li1 0.250 0.750 0.500
Li2 0.750 0.250 0.500
Mg1 0.931 0.431 0.277
Mg2 0.654 0.154 0.723
Mg3 0.069 0.569 0.723
Mg4 0.154 0.069 0.723
Mg5 0.569 0.654 0.723
Mg6 0.846 0.931 0.277
Mg7 0.431 0.346 0.277
Mg8 0.346 0.846 0.277
Mg9 0.500 0.500 0.000
Mg10 0.000 0.000 0.000
Ga1 0.250 0.250 0.500
Ga2 0.750 0.750 0.500
Ag1 0.124 0.376 0.000
Ag2 0.624 0.124 0.000
Ag3 0.376 0.876 0.000
Ag4 0.876 0.624 0.000

Summary:
The calculated formation energy comes out at -8 kJ/mol of formula units. The value obtained for the magnetization is 0.00 μB per formula unit. The value obtained for the calculated volume is 187 Å³/f.u.

***

Entry from Alexandria: crystalline LiMg2GaAg2 at its relaxed geometry (PBE-GGA).

Lattice parameters (Å, degrees): 4.341 5.804 8.563 90.00 90.00 90.00
Fractional coordinates of all 12 atoms:
Li1 0.000 0.904 0.477
Li2 0.000 0.404 0.523
Mg1 0.500 0.105 0.012
Mg2 0.000 0.371 0.190
Mg3 0.500 0.605 0.988
Mg4 0.000 0.871 0.810
Ga1 0.500 0.152 0.670
Ga2 0.500 0.652 0.330
Ag1 0.000 0.360 0.838
Ag2 0.500 0.153 0.349
Ag3 0.000 0.860 0.162
Ag4 0.500 0.653 0.651

Summary:
The calculated formation energy comes out at -106 kJ/mol of formula units. The value obtained for the magnetization is 0.00 μB per formula unit. The value obtained for the calculated volume is 108 Å³/f.u.

***

Entry from Alexandria: crystalline Li2MgGa2Ag5 at its relaxed geometry (PBE-GGA).

Lattice parameters (Å, degrees): 4.138 9.449 9.449 90.00 90.00 90.00
Fractional coordinates of all 20 atoms:
Li1 0.000 0.674 0.174
Li2 0.000 0.326 0.826
Li3 0.000 0.174 0.326
Li4 0.000 0.826 0.674
Mg1 0.000 0.000 0.000
Mg2 0.000 0.500 0.500
Ga1 0.000 0.122 0.622
Ga2 0.000 0.878 0.378
Ga3 0.000 0.622 0.878
Ga4 0.000 0.378 0.122
Ag1 0.500 0.200 0.074
Ag2 0.500 0.800 0.926
Ag3 0.500 0.074 0.800
Ag4 0.500 0.700 0.426
Ag5 0.500 0.926 0.200
Ag6 0.500 0.300 0.574
Ag7 0.500 0.574 0.700
Ag8 0.500 0.426 0.300
Ag9 0.500 0.500 0.000
Ag10 0.500 0.000 0.500

Summary:
The calculated formation energy comes out at -128 kJ/mol of formula units. The value obtained for the magnetization is 0.00 μB per formula unit. The value obtained for the calculated volume is 185 Å³/f.u.

***

Entry from Alexandria: crystalline Li5Mg2GaAg2 at its relaxed geometry (PBE-GGA).

Lattice parameters (Å, degrees): 4.279 9.292 9.292 90.00 90.00 90.00
Fractional coordinates of all 20 atoms:
Li1 0.500 0.194 0.070
Li2 0.500 0.806 0.930
Li3 0.500 0.070 0.806
Li4 0.500 0.694 0.430
Li5 0.500 0.930 0.194
Li6 0.500 0.306 0.570
Li7 0.500 0.570 0.694
Li8 0.500 0.430 0.306
Li9 0.500 0.500 0.000
Li10 0.500 0.000 0.500
Mg1 0.000 0.677 0.177
Mg2 0.000 0.323 0.823
Mg3 0.000 0.177 0.323
Mg4 0.000 0.823 0.677
Ga1 0.000 0.000 0.000
Ga2 0.000 0.500 0.500
Ag1 0.000 0.118 0.618
Ag2 0.000 0.882 0.382
Ag3 0.000 0.618 0.882
Ag4 0.000 0.382 0.118

Summary:
The calculated formation energy comes out at -135 kJ/mol of formula units. The value obtained for the magnetization is 0.00 μB per formula unit. The value obtained for the calculated volume is 185 Å³/f.u.

***

Entry from Alexandria: crystalline LiMgGa2Ag2 at its relaxed geometry (PBE-GGA).

Lattice parameters (Å, degrees): 4.543 4.543 5.941 90.00 90.00 120.00
Fractional coordinates of all 6 atoms:
Li1 0.000 0.000 0.000
Mg1 0.000 0.000 0.500
Ga1 0.333 0.667 0.771
Ga2 0.667 0.333 0.229
Ag1 0.333 0.667 0.252
Ag2 0.667 0.333 0.748

Summary:
The calculated formation energy comes out at -117 kJ/mol of formula units. The value obtained for the magnetization is 0.00 μB per formula unit. The value obtained for the calculated volume is 106 Å³/f.u.